Entry 1:
Compound: Sc2OsSe
Source: Alexandria
Functional: PBE
Structure: relaxed

a = 5.953 Å, b = 5.953 Å, c = 5.953 Å
α = 106.87°, β = 106.87°, γ = 114.81°
Element x y z (fractional)
Sc: 0.113 0.625 0.988
Sc: 0.375 0.363 0.488
Sc: 0.637 0.125 0.012
Sc: 0.875 0.887 0.512
Os: 0.000 0.000 0.000
Os: 0.750 0.250 0.500
Se: 0.250 0.750 0.500
Se: 0.500 0.500 0.000

Raw total energy (eV/cell): -56.8
Symmetry: I-42d, No. 122
Energy relative to the elements, uncorrected (meV/atom): -251

Entry 2:
Compound: Ce2Al4ZnGa3
Source: Alexandria
Functional: PBE
Structure: relaxed

a = 4.260 Å, b = 4.260 Å, c = 10.885 Å
α = 90.00°, β = 90.00°, γ = 90.00°
Element x y z (fractional)
Ce: 0.000 0.500 0.246
Ce: 0.500 0.000 0.754
Al: 0.000 0.000 0.500
Al: 0.000 0.500 0.868
Al: 0.500 0.000 0.132
Al: 0.500 0.500 0.500
Zn: 0.500 0.500 0.000
Ga: 0.000 0.000 0.000
Ga: 0.000 0.500 0.639
Ga: 0.500 0.000 0.361

Raw total energy (eV/cell): -41.1
Symmetry: P-4m2, No. 115
Energy relative to the elements (meV/atom): -386

Entry 3:
Compound: KBrN4
Source: Alexandria
Functional: PBE
Structure: relaxed

a = 20.157 Å, b = 20.157 Å, c = 20.157 Å
α = 166.99°, β = 166.99°, γ = 18.44°
Element x y z (fractional)
K: 0.375 0.125 0.250
K: 0.625 0.875 0.750
Br: 0.125 0.375 0.750
Br: 0.875 0.625 0.250
N: 0.072 0.262 0.912
N: 0.150 0.840 0.412
N: 0.238 0.650 0.810
N: 0.340 0.428 0.690
N: 0.660 0.572 0.310
N: 0.762 0.350 0.190
N: 0.850 0.160 0.588
N: 0.928 0.738 0.088

Raw total energy (eV/cell): -78.6
Symmetry: I4_1/a, No. 88
Energy relative to the elements, uncorrected (meV/atom): -537

Entry 4:
Compound: TaTlRu4
Source: Alexandria
Functional: PBE
Structure: relaxed

a = 5.169 Å, b = 5.169 Å, c = 5.169 Å
α = 60.00°, β = 60.00°, γ = 60.00°
Element x y z (fractional)
Ta: 0.000 0.000 0.000
Tl: 0.250 0.250 0.250
Ru: 0.126 0.625 0.625
Ru: 0.625 0.126 0.625
Ru: 0.625 0.625 0.126
Ru: 0.625 0.625 0.625

Raw total energy (eV/cell): -49.4
Symmetry: F-43m, No. 216
Energy relative to the elements (meV/atom): 313

Entry 5:
Compound: SmY2Ir2
Source: Alexandria
Functional: PBE
Structure: relaxed

a = 4.819 Å, b = 4.819 Å, c = 6.066 Å
α = 90.00°, β = 90.00°, γ = 120.00°
Element x y z (fractional)
Sm: 0.000 0.000 0.000
Y: 0.333 0.667 0.662
Y: 0.667 0.333 0.338
Ir: 0.333 0.667 0.174
Ir: 0.667 0.333 0.826

Raw total energy (eV/cell): -38.9
Symmetry: P-3m1, No. 164
Energy relative to the elements (meV/atom): -716

Entry 6:
Compound: Ho9TlIn2
Source: Alexandria
Functional: PBE
Structure: relaxed

a = 4.825 Å, b = 4.825 Å, c = 14.476 Å
α = 90.00°, β = 90.00°, γ = 90.00°
Element x y z (fractional)
Ho: 0.000 0.000 0.000
Ho: 0.000 0.000 0.334
Ho: 0.000 0.000 0.666
Ho: 0.000 0.500 0.168
Ho: 0.000 0.500 0.500
Ho: 0.000 0.500 0.832
Ho: 0.500 0.000 0.168
Ho: 0.500 0.000 0.500
Ho: 0.500 0.000 0.832
Tl: 0.500 0.500 0.000
In: 0.500 0.500 0.334
In: 0.500 0.500 0.666

Raw total energy (eV/cell): -51.8
Symmetry: P4/mmm, No. 123
Energy relative to the elements (meV/atom): -234

Entry 7:
Compound: LiAcSnPb
Source: Alexandria
Functional: PBE
Structure: relaxed

a = 5.545 Å, b = 5.545 Å, c = 5.545 Å
α = 60.00°, β = 60.00°, γ = 60.00°
Element x y z (fractional)
Li: 0.000 0.000 0.000
Ac: 0.500 0.500 0.500
Sn: 0.250 0.250 0.250
Pb: 0.750 0.750 0.750

Relative energy among the computed polymorphs (meV per atom): 83.3
Raw total energy (eV/cell): -15.2
Symmetry: F-43m, No. 216
Energy relative to the elements (meV/atom): -366

Entry 8:
Compound: TbPr2Sc5
Source: Alexandria
Functional: PBE
Structure: relaxed

a = 6.770 Å, b = 6.770 Å, c = 6.770 Å
α = 118.53°, β = 118.53°, γ = 92.57°
Element x y z (fractional)
Tb: 0.000 0.000 0.000
Pr: 0.000 0.500 0.500
Pr: 0.500 0.000 0.500
Sc: 0.000 0.000 0.500
Sc: 0.000 0.500 0.000
Sc: 0.500 0.000 0.000
Sc: 0.500 0.500 0.000
Sc: 0.500 0.500 0.500

Raw total energy (eV/cell): -45.3
Symmetry: I4/mmm, No. 139
Energy relative to the elements (meV/atom): 69

Entry 9:
Compound: Sc2Cl3O
Source: Alexandria
Functional: PBE
Structure: relaxed

a = 8.730 Å, b = 8.730 Å, c = 10.576 Å
α = 125.17°, β = 125.17°, γ = 23.86°
Element x y z (fractional)
Sc: 0.070 0.070 0.459
Sc: 0.365 0.365 0.215
Sc: 0.635 0.635 0.785
Sc: 0.930 0.930 0.541
Cl: 0.174 0.174 0.012
Cl: 0.293 0.293 0.386
Cl: 0.471 0.471 0.754
Cl: 0.529 0.529 0.246
Cl: 0.707 0.707 0.614
Cl: 0.826 0.826 0.988
O: 0.082 0.082 0.668
O: 0.918 0.918 0.332

Raw total energy (eV/cell): -75.4
Symmetry: C2/m, No. 12
Energy relative to the elements, uncorrected (meV/atom): -2420

Entry 10:
Compound: Pu6Se5Br
Source: Alexandria
Functional: PBE
Structure: relaxed

a = 7.208 Å, b = 7.208 Å, c = 7.199 Å
α = 99.60°, β = 99.60°, γ = 119.97°
Element x y z (fractional)
Pu: 0.074 0.415 0.745
Pu: 0.244 0.244 0.253
Pu: 0.415 0.074 0.745
Pu: 0.585 0.926 0.255
Pu: 0.756 0.756 0.747
Pu: 0.926 0.585 0.255
Se: 0.000 0.000 0.500
Se: 0.167 0.833 0.000
Se: 0.336 0.664 0.500
Se: 0.664 0.336 0.500
Se: 0.833 0.167 0.000
Br: 0.500 0.500 0.000

Raw total energy (eV/cell): -122.0
Symmetry: C2/m, No. 12
Energy relative to the elements, uncorrected (meV/atom): -1411

Entry 11:
Compound: Cu2SnSb2
Source: Alexandria
Functional: PBE
Structure: relaxed

a = 7.783 Å, b = 7.783 Å, c = 3.440 Å
α = 90.00°, β = 90.00°, γ = 90.00°
Element x y z (fractional)
Cu: 0.118 0.382 0.000
Cu: 0.382 0.882 0.000
Cu: 0.618 0.118 0.000
Cu: 0.882 0.618 0.000
Sn: 0.000 0.000 0.000
Sn: 0.500 0.500 0.000
Sb: 0.170 0.670 0.500
Sb: 0.330 0.170 0.500
Sb: 0.670 0.830 0.500
Sb: 0.830 0.330 0.500

Relative energy among the computed polymorphs (meV per atom): 63.2
Raw total energy (eV/cell): -39.1
Symmetry: P4/mbm, No. 127
Energy relative to the elements, uncorrected (meV/atom): 181

Entry 12:
Compound: BaCuPRu
Source: Alexandria
Functional: PBE
Structure: relaxed

a = 4.004 Å, b = 4.004 Å, c = 11.345 Å
α = 90.00°, β = 90.00°, γ = 90.00°
Element x y z (fractional)
Ba: 0.250 0.250 0.236
Ba: 0.750 0.750 0.764
Cu: 0.250 0.750 0.000
Cu: 0.750 0.250 0.000
P: 0.250 0.250 0.605
P: 0.750 0.750 0.395
Ru: 0.250 0.750 0.500
Ru: 0.750 0.250 0.500

Raw total energy (eV/cell): -45.3
Symmetry: P4/nmm, No. 129
Energy relative to the elements (meV/atom): -487

- Which of these has the lowest raw total energy?
  Pu6Se5Br

What did the sixth record say?
Compound: Ho9TlIn2
Source: Alexandria
Functional: PBE
Structure: relaxed

a = 4.825 Å, b = 4.825 Å, c = 14.476 Å
α = 90.00°, β = 90.00°, γ = 90.00°
Element x y z (fractional)
Ho: 0.000 0.000 0.000
Ho: 0.000 0.000 0.334
Ho: 0.000 0.000 0.666
Ho: 0.000 0.500 0.168
Ho: 0.000 0.500 0.500
Ho: 0.000 0.500 0.832
Ho: 0.500 0.000 0.168
Ho: 0.500 0.000 0.500
Ho: 0.500 0.000 0.832
Tl: 0.500 0.500 0.000
In: 0.500 0.500 0.334
In: 0.500 0.500 0.666

Raw total energy (eV/cell): -51.8
Symmetry: P4/mmm, No. 123
Energy relative to the elements (meV/atom): -234

- Which of these has the highest raw total energy?
  LiAcSnPb

Please write out number 3 again, unchanged.
Compound: KBrN4
Source: Alexandria
Functional: PBE
Structure: relaxed

a = 20.157 Å, b = 20.157 Å, c = 20.157 Å
α = 166.99°, β = 166.99°, γ = 18.44°
Element x y z (fractional)
K: 0.375 0.125 0.250
K: 0.625 0.875 0.750
Br: 0.125 0.375 0.750
Br: 0.875 0.625 0.250
N: 0.072 0.262 0.912
N: 0.150 0.840 0.412
N: 0.238 0.650 0.810
N: 0.340 0.428 0.690
N: 0.660 0.572 0.310
N: 0.762 0.350 0.190
N: 0.850 0.160 0.588
N: 0.928 0.738 0.088

Raw total energy (eV/cell): -78.6
Symmetry: I4_1/a, No. 88
Energy relative to the elements, uncorrected (meV/atom): -537